The following is a GGA+U calculation of a relaxed structure of LiNiPO2, from Alexandria.

The structure in POSCAR format:
```
LiNiPO2
1.0
3.5615 0.0000 0.0000
0.0000 3.5615 0.0000
0.0000 0.0000 4.7080
O Ni P Li
2 1 1 1
Direct
0.0000 0.5000 0.0000
0.5000 0.0000 0.0000
0.5000 0.5000 0.5000
0.0000 0.0000 0.5000
0.0000 0.0000 0.0000
```

Results
SG: P4/mmm
Energy above the most stable polymorph in this dataset: 369 meV per atom
DOS at the Fermi energy: 2.81 states/eV/f.u.
Total magnetization: 0.594 μB/atom